NdDyAg2Sn2 after structural relaxation, computed with PBE-GGA.

Summary:
uncorrected energy: -4.449 eV/atom
space group: P3m1 (156)

Cell lengths 4.7638, 4.7638, 7.4724 Å; angles 90.00, 90.00, 120.00 degrees
Fractional coordinates of all 6 atoms:
Nd  0.0000  0.0000  0.2580
Dy  0.0000  0.0000  0.7591
Ag  0.6667  0.3333  0.4633
Ag  0.3333  0.6667  0.9451
Sn  0.6667  0.3333  0.0321
Sn  0.3333  0.6667  0.5424

=====

Dy2Ni2Ag after structural relaxation, computed with PBE-GGA.

Summary:
ΔH_f (0 K): -0.424 eV/atom
space group: P4/mbm (127)

Cell lengths 7.3021, 7.3021, 3.6240 Å; angles 90.00, 90.00, 90.00 degrees
Fractional coordinates of all 10 atoms:
Dy  0.1758  0.6758  0.5000
Dy  0.6758  0.8242  0.5000
Dy  0.3242  0.1758  0.5000
Dy  0.8242  0.3242  0.5000
Ni  0.3808  0.8808  0.0000
Ni  0.8808  0.6192  0.0000
Ni  0.6192  0.1192  0.0000
Ni  0.1192  0.3808  0.0000
Ag  0.5000  0.5000  0.0000
Ag  0.0000  0.0000  0.0000

=====

Tb2DyZn3NiAg2 after structural relaxation, computed with PBE-GGA.

Summary:
ΔH_f (0 K): -0.350 eV/atom
space group: Amm2 (38)

Cell lengths 4.0201, 7.2276, 7.2276 Å; angles 119.95, 90.00, 90.00 degrees
Fractional coordinates of all 9 atoms:
Zn  0.5000  0.9994  0.7712
Zn  0.5000  0.7712  0.9994
Zn  0.5000  0.2287  0.2287
Ag  0.5000  0.6664  0.3345
Ag  0.5000  0.3345  0.6664
Tb  0.0000  0.0000  0.3916
Tb  0.0000  0.3916  0.0000
Ni  0.0000  0.9992  0.9992
Dy  0.0000  0.6091  0.6091

=====

Dy3AgO6 after structural relaxation, computed with PBE-GGA.

Summary:
uncorrected energy: -7.339 eV/atom
space group: P-1 (2)

Cell lengths 3.5663, 5.5354, 6.9997 Å; angles 90.07, 103.15, 91.27 degrees
Fractional coordinates of all 10 atoms:
O  0.8315  0.6850  0.1090
O  0.1685  0.3150  0.8910
O  0.5219  0.2564  0.5276
O  0.1348  0.7974  0.7871
O  0.8652  0.2026  0.2129
O  0.4781  0.7436  0.4724
Dy  0.3840  0.4686  0.2347
Dy  0.6160  0.5314  0.7653
Dy  0.0000  0.0000  0.5000
Ag  0.0000  0.0000  0.0000

=====

Dy2Ag2O5 after structural relaxation, computed with PBE-GGA.

Summary:
space group: P4/mmm (123)
ΔE to the lowest computed polymorph: 0.0 meV/atom

Cell lengths 8.6200, 4.0405, 4.0405 Å; angles 90.00, 90.00, 90.00 degrees
Site moments in Bohr magnetons follow the coordinates.
Fractional coordinates of all 9 atoms:
O  0.5000  0.5000  0.5000  0.00
O  0.8434  0.5000  0.0000  0.28
O  0.8434  0.0000  0.5000  0.35
O  0.1566  0.5000  0.0000  0.28
O  0.1566  0.0000  0.5000  0.35
Dy  0.7522  0.5000  0.5000  -0.02
Dy  0.2478  0.5000  0.5000  -0.02
Ag  0.0000  0.0000  0.0000  0.51
Ag  0.5000  0.0000  0.0000  0.00

=====

Dy2Ag2O5 after structural relaxation, computed with PBE-GGA.

Summary:
space group: P4/mmm (123)
ΔE to the lowest computed polymorph: 200.6 meV/atom

Cell lengths 6.9680, 4.0960, 4.0960 Å; angles 90.00, 90.00, 90.00 degrees
Fractional coordinates of all 9 atoms:
O  0.5000  0.5000  0.5000
O  0.2152  0.5000  0.0000
O  0.2152  0.0000  0.5000
O  0.7848  0.0000  0.5000
O  0.7848  0.5000  0.0000
Ag  0.1917  0.5000  0.5000
Ag  0.8083  0.5000  0.5000
Dy  0.0000  0.0000  0.0000
Dy  0.5000  0.0000  0.0000

=====

Dy2AgO4 after structural relaxation, computed with PBE-GGA.

Summary:
uncorrected energy: -6.920 eV/atom
space group: Fd-3m (227)

Cell lengths 6.7632, 6.7632, 6.7632 Å; angles 119.99, 90.01, 119.99 degrees
Site moments in Bohr magnetons follow the coordinates.
Fractional coordinates of all 14 atoms:
Dy  0.3750  0.7500  0.6250  0.00
Dy  0.8750  0.2500  0.6250  0.00
Dy  0.3750  0.2500  0.6250  0.00
Dy  0.3750  0.7500  0.1250  0.00
O  0.6113  0.2225  0.8339  0.16
O  0.1661  0.7775  0.3887  0.12
O  0.6113  0.7775  0.3888  0.12
O  0.6112  0.2225  0.3887  0.17
O  0.1387  0.2775  0.4161  0.16
O  0.1388  0.2775  0.8613  0.17
O  0.1387  0.7225  0.8612  0.12
O  0.5839  0.7225  0.8613  0.12
Ag  0.7500  0.5000  0.2500  0.32
Ag  0.0000  0.0000  0.0000  0.32

=====

DyAgPO after structural relaxation, computed with PBE-GGA.

Summary:
space group: P4/nmm (129)
ΔE to the lowest computed polymorph: 0.0 meV/atom

Cell lengths 3.9543, 3.9543, 8.7410 Å; angles 90.00, 90.00, 90.00 degrees
Fractional coordinates of all 8 atoms:
Ag  0.5000  0.5000  0.5000
Ag  0.0000  0.0000  0.5000
P  0.5000  0.0000  0.3094
P  0.0000  0.5000  0.6906
Dy  0.0000  0.5000  0.1238
Dy  0.5000  0.0000  0.8762
O  0.5000  0.5000  0.0000
O  0.0000  0.0000  0.0000